1.
# HgTe2Br

A geometry-optimized HgTe2Br structure (PBE, the Alexandria database).

Output
Density of states at the Fermi level in states/eV per cell: 1.83
ρ in g cm⁻³: 6.3
Volume in A^3/atom: 35.2
Space group: No. 35
Energy above the lowest structure with this stoichiometry in eV per atom: 0.096
Total moment in Bohr magnetons per cell: 0.00

abc: 4.355 4.355 9.161
angles: 90.00 90.00 125.87
Atoms (fractional coordinates):
Te  0.500  0.500  0.223
Te  0.000  0.000  0.999
Hg  0.500  0.500  0.749
Br  0.000  0.000  0.529

2.
# NaTl2Pb5

A geometry-optimized NaTl2Pb5 structure (PBE, the Alexandria database).

Output
Energy of formation from the pure elements in eV/atom: -0.007
Density of states at the Fermi level in states/eV per cell: 4.20
ρ in g cm⁻³: 9.9
Volume in A^3/atom: 30.6
Space group: No. 107
Energy above the lowest structure with this stoichiometry in eV per atom: 0.040
Total moment in Bohr magnetons per cell: 0.00

abc: 6.878 6.878 6.878
angles: 104.82 104.83 119.23
Atoms (fractional coordinates):
Pb  0.778  0.278  0.000
Pb  0.278  0.278  0.000
Pb  0.278  0.278  0.500
Pb  0.777  0.778  0.500
Pb  0.278  0.777  0.000
Tl  0.278  0.778  0.500
Tl  0.778  0.278  0.500
Na  0.779  0.778  0.000

3.
# CeSmH

A geometry-optimized CeSmH structure (PBE, the Alexandria database).

Output
Density of states at the Fermi level in states/eV per cell: 5.94
ρ in g cm⁻³: 7.4
Volume in A^3/atom: 21.8
Space group: No. 156
Energy above the lowest structure with this stoichiometry in eV per atom: 0.020
Total moment in Bohr magnetons per cell: 0.89

abc: 3.566 3.566 5.927
angles: 90.00 90.00 120.00
Atoms (fractional coordinates):
Ce  0.667  0.333  0.422
Sm  0.000  0.000  0.912
H  0.333  0.667  0.666

4.
# HfNb2HPd

A geometry-optimized HfNb2HPd structure (PBE, the Alexandria database).

Output
Density of states at the Fermi level in states/eV per cell: 2.49
ρ in g cm⁻³: 10.4
Volume in A^3/atom: 15.1
Space group: No. 123
Energy above the lowest structure with this stoichiometry in eV per atom: 0.007
Total moment in Bohr magnetons per cell: 0.00

abc: 3.986 3.986 4.763
angles: 90.00 90.00 90.00
Atoms (fractional coordinates):
Nb  0.500  0.000  0.000
Nb  0.000  0.500  0.000
Hf  0.500  0.500  0.500
H  0.000  0.000  0.000
Pd  0.000  0.000  0.500

Copy entry 4 word for word.
# HfNb2HPd

A geometry-optimized HfNb2HPd structure (PBE, the Alexandria database).

Output
Density of states at the Fermi level in states/eV per cell: 2.49
ρ in g cm⁻³: 10.4
Volume in A^3/atom: 15.1
Space group: No. 123
Energy above the lowest structure with this stoichiometry in eV per atom: 0.007
Total moment in Bohr magnetons per cell: 0.00

abc: 3.986 3.986 4.763
angles: 90.00 90.00 90.00
Atoms (fractional coordinates):
Nb  0.500  0.000  0.000
Nb  0.000  0.500  0.000
Hf  0.500  0.500  0.500
H  0.000  0.000  0.000
Pd  0.000  0.000  0.500

> The lowest ρ belongs to which entry?

HgTe2Br

> What is the formula in the second record?

NaTl2Pb5

Copy entry 4 word for word.
# HfNb2HPd

A geometry-optimized HfNb2HPd structure (PBE, the Alexandria database).

Output
Density of states at the Fermi level in states/eV per cell: 2.49
ρ in g cm⁻³: 10.4
Volume in A^3/atom: 15.1
Space group: No. 123
Energy above the lowest structure with this stoichiometry in eV per atom: 0.007
Total moment in Bohr magnetons per cell: 0.00

abc: 3.986 3.986 4.763
angles: 90.00 90.00 90.00
Atoms (fractional coordinates):
Nb  0.500  0.000  0.000
Nb  0.000  0.500  0.000
Hf  0.500  0.500  0.500
H  0.000  0.000  0.000
Pd  0.000  0.000  0.500